*i*
The following is a DFT calculation (PBE-GGA) of Zr3Fe4 after structural relaxation.

Structure (extended XYZ):
```
7
Lattice="-4.600 -2.582 2.147 1.563 -0.984 -5.387 2.540 -3.396 1.357" Properties=species:S:1:pos:R:3 pbc="T T T"
Fe 0.779 -3.215 -2.197
Fe -1.275 -3.747 0.315
Zr -1.518 -1.783 -1.620
Zr -2.300 -1.291 1.074
Fe 0.640 -0.855 0.342
Fe 1.900 -2.541 1.016
Zr 0.782 -0.492 -2.694
```

## Properties
SG: P6/mmm, No. 191

*ii*
The following is a DFT calculation (PBE-GGA) of Zr3Fe4 after structural relaxation.

Structure (extended XYZ):
```
7
Lattice="3.055 10.603 4.224 2.133 11.621 0.021 -4.699 -10.727 -1.567" Properties=species:S:1:pos:R:3 pbc="T T T"
Fe 2.973 12.735 2.432
Zr 1.552 6.649 1.270
Fe 4.534 19.420 3.709
Fe 0.655 2.804 0.535
Fe 2.215 9.489 1.812
Zr 0.000 0.000 0.000
Zr 3.636 15.576 2.975
```

## Properties
SG: I4/mmm, No. 139

The winner here is *ii*, beating the second structure by 541 meV per atom.

*i*
The following is a DFT calculation (PBE-GGA) of Ga after structural relaxation.

Structure (extended XYZ):
```
4
Lattice="2.642 0.000 0.000 0.000 9.342 0.000 0.000 0.000 3.105" Properties=species:S:1:pos:R:3 pbc="T T T"
Ga 1.321 3.461 2.328
Ga 0.000 1.210 0.776
Ga 0.000 8.132 2.328
Ga 1.321 5.880 0.776
```

## Properties
SG: Cmcm, No. 63

*ii*
The following is a DFT calculation (PBE-GGA) of Ga after structural relaxation.

Structure (extended XYZ):
```
16
Lattice="9.305 0.000 0.000 0.000 5.157 0.000 0.000 0.000 6.492" Properties=species:S:1:pos:R:3 pbc="T T T"
Ga 2.326 1.289 4.869
Ga 1.296 3.868 5.686
Ga 6.979 1.289 4.869
Ga 4.653 3.868 0.284
Ga 8.009 1.289 0.806
Ga 0.000 1.289 3.530
Ga 0.000 3.868 2.962
Ga 1.296 1.289 0.806
Ga 3.357 1.289 2.440
Ga 5.948 3.868 4.052
Ga 3.357 3.868 4.052
Ga 4.653 1.289 6.208
Ga 8.009 3.868 5.686
Ga 2.326 3.868 1.623
Ga 6.979 3.868 1.623
Ga 5.948 1.289 2.440
```

## Properties
SG: Imma, No. 74

*iii*
The following is a DFT calculation (PBE-GGA) of Ga after structural relaxation.

Structure (extended XYZ):
```
3
Lattice="-0.618 2.437 1.334 -4.024 -0.824 -2.526 0.526 -3.093 3.682" Properties=species:S:1:pos:R:3 pbc="T T T"
Ga -0.856 0.106 1.442
Ga -2.012 -0.412 -1.263
Ga -3.260 -1.586 1.047
```

## Properties
SG: P-1, No. 2

*iv*
The following is a DFT calculation (PBE-GGA) of Ga after structural relaxation.

Structure (extended XYZ):
```
12
Lattice="7.218 0.000 0.000 0.000 7.218 0.000 0.000 0.000 7.218" Properties=species:S:1:pos:R:3 pbc="T T T"
Ga 0.000 1.804 3.609
Ga 3.609 5.413 0.000
Ga 5.413 3.609 0.000
Ga 3.609 0.000 1.804
Ga 1.804 3.609 0.000
Ga 0.000 3.609 1.804
Ga 1.804 0.000 3.609
Ga 3.609 0.000 5.413
Ga 0.000 3.609 5.413
Ga 0.000 5.413 3.609
Ga 5.413 0.000 3.609
Ga 3.609 1.804 0.000
```

## Properties
SG: Im-3m, No. 229

The winner here is *iii*, beating the second structure by 9 meV per atom.

*i*
The following is a DFT calculation (PBE-GGA) of Ga after structural relaxation.

Structure (extended XYZ):
```
1
Lattice="-2.867 0.403 -0.246 0.598 -1.138 2.606 1.364 2.550 -0.279" Properties=species:S:1:pos:R:3 pbc="T T T"
Ga 0.000 0.000 0.000
```

## Properties
SG: Im-3m, No. 229

*ii*
The following is a DFT calculation (PBE-GGA) of Ga after structural relaxation.

Structure (extended XYZ):
```
4
Lattice="2.962 0.000 0.000 -1.481 2.565 0.000 0.000 0.000 9.860" Properties=species:S:1:pos:R:3 pbc="T T T"
Ga 0.000 1.710 2.465
Ga 1.481 0.855 7.395
Ga 0.000 0.000 4.930
Ga 0.000 0.000 0.000
```

## Properties
SG: P6_3/mmc, No. 194

*iii*
The following is a DFT calculation (PBE-GGA) of Ga after structural relaxation.

Structure (extended XYZ):
```
16
Lattice="-4.906 -0.388 6.387 1.887 -7.778 0.977 6.114 2.089 4.824" Properties=species:S:1:pos:R:3 pbc="T T T"
Ga -2.853 -1.232 6.293
Ga 3.025 -1.379 5.683
Ga 0.095 -4.670 6.498
Ga 1.318 0.167 9.555
Ga 1.779 -6.270 2.604
Ga 4.661 0.458 5.228
Ga -0.541 -2.181 6.188
Ga -1.541 -6.507 6.952
Ga 0.501 -0.983 1.972
Ga 2.048 -4.022 8.065
Ga 3.600 -3.882 6.000
Ga 1.439 -1.531 7.721
Ga 5.913 -4.831 5.895
Ga 1.657 -4.572 4.438
Ga 2.602 -5.111 10.249
Ga 1.055 -2.072 4.155
```

## Properties
SG: I-43m, No. 217

The winner here is *ii*, beating the second structure by 16 meV per atom.

*i*
The following is a DFT calculation (PBE-GGA) of GdGa6 after structural relaxation.

Structure (extended XYZ):
```
7
Lattice="-1.724 3.729 -4.426 4.170 -3.828 -2.103 -4.778 -3.118 1.981" Properties=species:S:1:pos:R:3 pbc="T T T"
Ga -2.639 0.281 -2.855
Ga 1.071 -1.786 -3.295
Ga -0.402 0.103 -3.876
Gd 0.000 0.000 0.000
Ga -3.403 -1.431 -1.253
Ga 0.308 -3.498 -1.693
Ga -1.929 -3.320 -0.672
```

## Properties
SG: Im-3m, No. 229

*ii*
The following is a DFT calculation (PBE-GGA) of GdGa6 after structural relaxation.

Structure (extended XYZ):
```
14
Lattice="-3.380 -4.508 -2.057 4.597 -1.923 -3.338 2.353 -4.399 5.775" Properties=species:S:1:pos:R:3 pbc="T T T"
Ga 0.383 -0.715 0.939
Gd -1.690 -2.254 -1.029
Ga 0.565 -3.347 0.783
Ga 4.212 -5.874 0.331
Ga 2.396 -4.268 2.294
Ga 2.314 -6.193 -2.098
Gd 2.298 -0.962 -1.669
Ga 0.049 -6.247 1.743
Ga 0.991 -3.931 -1.759
Ga -0.467 -5.875 -0.723
Ga 1.970 -3.684 4.836
Ga 3.347 -3.664 -0.592
Ga 2.579 -6.899 2.138
Ga 1.864 -7.853 -0.220
```

## Properties
SG: P4/nbm, No. 125

The winner here is *ii*, beating the second structure by 408 meV per atom.

*i*
The following is a DFT calculation (PBE-GGA) of Gd2GaGe after structural relaxation.

Structure (extended XYZ):
```
4
Lattice="-0.418 -2.868 -2.567 3.032 -1.175 -2.101 2.749 -6.754 4.179" Properties=species:S:1:pos:R:3 pbc="T T T"
Gd 1.315 -2.626 -0.200
Ge 0.000 0.000 0.000
Ga 2.682 -5.398 -0.244
Gd 4.048 -8.171 -0.289
```

## Properties
SG: R-3m, No. 166

*ii*
The following is a DFT calculation (PBE-GGA) of Gd2GaGe after structural relaxation.

Structure (extended XYZ):
```
4
Lattice="-1.597 -3.739 0.351 2.879 -1.556 -3.480 3.322 -1.114 3.247" Properties=species:S:1:pos:R:3 pbc="T T T"
Ge 2.303 -3.204 0.059
Ga -0.798 -1.870 0.176
Gd 1.440 -0.778 -1.740
Gd 1.661 -0.557 1.624
```

## Properties
SG: P4/mmm, No. 123

The winner here is *ii*, beating the second structure by 138 meV per atom.

*i*
The following is a DFT calculation (PBE-GGA) of GdGaGe2 after structural relaxation.

Structure (extended XYZ):
```
4
Lattice="-3.425 -0.682 2.837 -1.165 -4.190 1.154 1.566 -1.443 5.113" Properties=species:S:1:pos:R:3 pbc="T T T"
Ge -1.958 -4.718 7.206
Gd -1.512 -3.157 4.552
Ge -1.066 -1.597 1.897
Ga 0.000 0.000 0.000
```

## Properties
SG: R-3m, No. 166

*ii*
The following is a DFT calculation (PBE-GGA) of GdGaGe2 after structural relaxation.

Structure (extended XYZ):
```
4
Lattice="4.310 0.000 0.000 0.000 4.323 0.000 0.000 0.000 4.323" Properties=species:S:1:pos:R:3 pbc="T T T"
Gd 2.155 2.162 2.162
Ge 0.000 2.162 0.000
Ge 0.000 0.000 2.162
Ga 2.155 0.000 0.000
```

## Properties
SG: P4/mmm, No. 123

The winner here is *ii*, beating the second structure by 160 meV per atom.

*i*
The following is a DFT calculation (PBE-GGA) of GdHfGa after structural relaxation.

Structure (extended XYZ):
```
3
Lattice="3.318 0.000 0.000 0.000 3.318 0.000 -1.659 -1.659 6.273" Properties=species:S:1:pos:R:3 pbc="T T T"
Ga 1.659 1.659 2.211
Hf 0.000 0.000 3.958
Gd 0.000 0.000 0.104
```

## Properties
SG: I4mm, No. 107

*ii*
The following is a DFT calculation (PBE-GGA) of GdHfGa after structural relaxation.

Structure (extended XYZ):
```
3
Lattice="-1.447 -2.613 -1.947 3.960 -0.160 -2.727 -0.324 -2.751 3.933" Properties=species:S:1:pos:R:3 pbc="T T T"
Hf -0.243 -0.439 -0.327
Gd 1.566 -2.767 -1.807
Ga 0.865 -2.318 1.392
```

## Properties
SG: P3m1, No. 156

The winner here is *i*, beating the second structure by 126 meV per atom.

*i*
The following is a DFT calculation (PBE-GGA) of GdHfGa2 after structural relaxation.

Structure (extended XYZ):
```
4
Lattice="-1.967 -2.737 0.902 0.804 -1.867 2.836 -5.286 3.547 5.978" Properties=species:S:1:pos:R:3 pbc="T T T"
Gd -3.225 -0.528 4.858
Ga -4.910 -0.717 7.358
Hf 0.000 0.000 0.000
Ga -1.540 -0.340 2.359
```

## Properties
SG: R-3m, No. 166

*ii*
The following is a DFT calculation (PBE-GGA) of GdHfGa2 after structural relaxation.

Structure (extended XYZ):
```
4
Lattice="3.160 0.000 0.000 0.000 5.124 0.000 0.000 0.000 5.124" Properties=species:S:1:pos:R:3 pbc="T T T"
Ga 0.000 0.000 2.562
Hf 1.580 0.000 0.000
Ga 0.000 2.562 0.000
Gd 1.580 2.562 2.562
```

## Properties
SG: P4/mmm, No. 123

*iii*
The following is a DFT calculation (PBE-GGA) of GdHfGa2 after structural relaxation.

Structure (extended XYZ):
```
4
Lattice="3.581 0.000 0.000 0.000 3.581 0.000 0.000 0.000 6.531" Properties=species:S:1:pos:R:3 pbc="T T T"
Hf 1.790 1.790 0.000
Ga 0.000 0.000 1.401
Ga 0.000 0.000 5.130
Gd 1.790 1.790 3.266
```

## Properties
SG: P4/mmm, No. 123

The winner here is *iii*, beating the second structure by 65 meV per atom.

*i*
The following is a DFT calculation (PBE-GGA) of GdGa2Hg after structural relaxation.

Structure (extended XYZ):
```
4
Lattice="4.275 0.000 0.000 0.000 4.495 0.000 0.000 0.000 4.495" Properties=species:S:1:pos:R:3 pbc="T T T"
Ga 0.000 0.000 2.247
Gd 2.138 2.247 2.247
Hg 2.138 0.000 0.000
Ga 0.000 2.247 0.000
```

## Properties
SG: P4/mmm, No. 123

*ii*
The following is a DFT calculation (PBE-GGA) of GdGa2Hg after structural relaxation.

Structure (extended XYZ):
```
4
Lattice="4.986 0.000 0.000 2.493 4.318 0.000 2.493 1.439 4.071" Properties=species:S:1:pos:R:3 pbc="T T T"
Ga 2.493 1.439 1.018
Hg 4.986 2.878 2.035
Gd 0.000 0.000 0.000
Ga 7.478 4.318 3.053
```

## Properties
SG: Fm-3m, No. 225

*iii*
The following is a DFT calculation (PBE-GGA) of GdGa2Hg after structural relaxation.

Structure (extended XYZ):
```
4
Lattice="-1.467 0.669 -4.159 -1.184 -3.475 -2.533 -5.705 -0.574 -0.472" Properties=species:S:1:pos:R:3 pbc="T T T"
Hg -4.178 -1.690 -3.582
Ga -5.974 -2.557 -5.480
Gd 0.000 0.000 0.000
Ga -2.382 -0.823 -1.684
```

## Properties
SG: R-3m, No. 166

The winner here is *i*, beating the second structure by 81 meV per atom.

*i*
The following is a DFT calculation (PBE-GGA) of GdHoGa after structural relaxation.

Structure (extended XYZ):
```
3
Lattice="3.663 0.000 0.000 0.000 4.971 0.000 0.000 -2.486 4.305" Properties=species:S:1:pos:R:3 pbc="T T T"
Ho 3.380 0.000 0.000
Ga 2.552 2.486 1.435
Gd 1.395 0.000 2.870
```

## Properties
SG: P3m1, No. 156

*ii*
The following is a DFT calculation (PBE-GGA) of GdHoGa after structural relaxation.

Structure (extended XYZ):
```
3
Lattice="4.975 0.000 0.000 2.488 4.309 0.000 2.488 1.436 4.062" Properties=species:S:1:pos:R:3 pbc="T T T"
Gd 0.000 0.000 0.000
Ho 4.975 2.872 2.031
Ga 2.488 1.436 1.016
```

## Properties
SG: F-43m, No. 216

The winner here is *i*, beating the second structure by 11 meV per atom.

*i*
The following is a DFT calculation (PBE-GGA) of GdHo2Ga after structural relaxation.

Structure (extended XYZ):
```
4
Lattice="-1.871 -2.929 3.150 4.277 -1.841 0.828 0.719 3.203 3.405" Properties=species:S:1:pos:R:3 pbc="T T T"
Ga -0.935 -1.464 1.575
Ho 2.139 -0.921 0.414
Ho 0.360 1.601 1.702
Gd 1.563 -0.784 3.692
```

## Properties
SG: P4/mmm, No. 123

*ii*
The following is a DFT calculation (PBE-GGA) of GdHo2Ga after structural relaxation.

Structure (extended XYZ):
```
4
Lattice="3.521 0.000 0.000 0.000 3.521 0.000 0.000 0.000 8.849" Properties=species:S:1:pos:R:3 pbc="T T T"
Ho 0.000 0.000 7.016
Gd 1.761 1.761 4.425
Ho 0.000 0.000 1.833
Ga 1.761 1.761 0.000
```

## Properties
SG: P4/mmm, No. 123

The winner here is *ii*, beating the second structure by 28 meV per atom.